First-principles (meta-GGA SCAN) data for Ca3CSe at its PBEsol-relaxed geometry, as listed in the Alexandria database.

a = 5.3046 Å, b = 5.3046 Å, c = 5.3046 Å
α = 90.00°, β = 90.00°, γ = 90.00°
With the nearest neighbours (Å) after each atom.
Space group Pm-3m (No. 221)
Unique sites:
Ca1 0.0000 0.0000 0.5000  2 Se 2.65
C1 0.5000 0.5000 0.5000  12 Ca 3.75
Se1 0.0000 0.0000 0.0000  6 Ca 2.65

## Properties
The calculation puts the density of states at the Fermi level at 0.31 states/eV per cell. Its uncorrected formation energy is 351 meV per atom.